# 1
Below is a crystal of CdPd2Pb2 relaxed with PBEsol, with properties calculated at the meta-GGA SCAN level.

Calculated values
Formation energy ... -0.18 eV per atom
Offset from the most stable computed form ... 0 meV/atom
V ... 20.8 Å³ per atom

Cell lengths 7.312, 7.312, 3.885 Å; angles 90.00, 90.00, 90.00 degrees
Atoms (fractional coordinates):
Cd: 0.000 0.000 0.000
Cd: 0.500 0.500 0.000
Pd: 0.139 0.361 0.000
Pd: 0.361 0.861 0.000
Pd: 0.639 0.139 0.000
Pd: 0.861 0.639 0.000
Pb: 0.161 0.661 0.500
Pb: 0.339 0.161 0.500
Pb: 0.661 0.839 0.500
Pb: 0.839 0.339 0.500

---

# 2
Below is a crystal of RbTcB2 relaxed with PBEsol, with properties calculated at the meta-GGA SCAN level.

Calculated values
Formation energy ... 0.55 eV per atom
V ... 23.2 Å³ per atom

Cell lengths 6.404, 6.404, 6.404 Å; angles 60.00, 60.00, 60.00 degrees
Atoms (fractional coordinates):
Rb: 0.125 0.125 0.125
Rb: 0.875 0.875 0.875
Tc: 0.375 0.375 0.375
Tc: 0.625 0.625 0.625
B: 0.000 0.500 0.500
B: 0.500 0.000 0.500
B: 0.500 0.500 0.000
B: 0.500 0.500 0.500

---

# 3
Below is a crystal of LaCd2Cl relaxed with PBEsol, with properties calculated at the meta-GGA SCAN level.

Calculated values
Formation energy without anion corrections ... -771 meV per atom
Offset from the most stable computed form ... 0 meV/atom
V ... 25.4 Å³ per atom

Cell lengths 3.655, 6.285, 4.422 Å; angles 90.00, 91.95, 90.00 degrees
Atoms (fractional coordinates):
La: 0.000 0.000 0.000
Cd: 0.252 0.500 0.753
Cd: 0.748 0.500 0.247
Cl: 0.500 0.000 0.500

---

# 4
Below is a crystal of Ta2BeSi relaxed with PBEsol, with properties calculated at the meta-GGA SCAN level.

Calculated values
Formation energy without anion corrections ... -97 meV per atom
Offset from the most stable computed form ... 424 meV/atom
V ... 14.4 Å³ per atom

Cell lengths 4.979, 4.979, 4.979 Å; angles 137.09, 135.88, 63.24 degrees
Atoms (fractional coordinates):
Ta: 0.000 0.000 0.000
Ta: 0.746 0.246 0.500
Be: 0.254 0.754 0.500
Si: 0.490 0.490 0.000

---

# 5
Below is a crystal of SmOF relaxed with PBEsol, with properties calculated at the meta-GGA SCAN level.

Calculated values
Formation energy without anion corrections ... -4166 meV per atom
V ... 13.9 Å³ per atom

Cell lengths 6.806, 6.806, 6.806 Å; angles 33.06, 33.06, 33.06 degrees
Atoms (fractional coordinates):
Sm: 0.242 0.242 0.242
Sm: 0.758 0.758 0.758
O: 0.122 0.122 0.122
O: 0.878 0.878 0.878
F: 0.370 0.370 0.370
F: 0.630 0.630 0.630

---

# 6
Below is a crystal of Mo2PbSe2O11 relaxed with PBEsol, with properties calculated at the meta-GGA SCAN level.

Calculated values
Formation energy without anion corrections ... -1553 meV per atom
V ... 14.9 Å³ per atom

Cell lengths 7.848, 8.163, 8.845 Å; angles 83.50, 66.31, 66.58 degrees
Atoms (fractional coordinates):
Mo: 0.221 0.467 0.050
Mo: 0.224 0.875 0.810
Mo: 0.776 0.125 0.190
Mo: 0.779 0.533 0.950
Pb: 0.077 0.724 0.475
Pb: 0.923 0.276 0.525
Se: 0.257 0.051 0.147
Se: 0.263 0.269 0.689
Se: 0.737 0.731 0.311
Se: 0.743 0.949 0.853
O: 0.097 0.021 0.067
O: 0.101 0.407 0.872
O: 0.122 0.282 0.193
O: 0.133 0.128 0.722
O: 0.174 0.988 0.342
O: 0.183 0.391 0.547
O: 0.230 0.670 0.927
O: 0.263 0.529 0.206
O: 0.275 0.783 0.624
O: 0.442 0.301 0.932
O: 0.442 0.894 0.790
O: 0.558 0.106 0.210
O: 0.558 0.699 0.068
O: 0.725 0.217 0.376
O: 0.737 0.471 0.794
O: 0.770 0.330 0.073
O: 0.817 0.609 0.453
O: 0.826 0.012 0.658
O: 0.867 0.872 0.278
O: 0.878 0.718 0.807
O: 0.899 0.593 0.128
O: 0.903 0.979 0.933

---

# 7
Below is a crystal of TaCd3Cu relaxed with PBEsol, with properties calculated at the meta-GGA SCAN level.

Calculated values
Formation energy ... 1.58 eV per atom
V ... 29.7 Å³ per atom

Cell lengths 5.298, 5.298, 5.298 Å; angles 90.00, 90.00, 90.00 degrees
Atoms (fractional coordinates):
Ta: 0.000 0.000 0.000
Cd: 0.000 0.000 0.500
Cd: 0.000 0.500 0.000
Cd: 0.500 0.000 0.000
Cu: 0.500 0.500 0.500

---

# 8
Below is a crystal of TlPbSe2 relaxed with PBEsol, with properties calculated at the meta-GGA SCAN level.

Calculated values
Formation energy without anion corrections ... -126 meV per atom
V ... 25.8 Å³ per atom

Cell lengths 6.518, 6.518, 6.518 Å; angles 142.21, 142.21, 54.52 degrees
Atoms (fractional coordinates):
Tl: 0.000 0.000 0.000
Pb: 0.750 0.250 0.500
Se: 0.250 0.750 0.500
Se: 0.500 0.500 0.000

---

# 9
Below is a crystal of Tl2PtW relaxed with PBEsol, with properties calculated at the meta-GGA SCAN level.

Calculated values
Formation energy ... 0.79 eV per atom
Offset from the most stable computed form ... 229 meV/atom
V ... 18.9 Å³ per atom

Cell lengths 5.647, 5.647, 5.647 Å; angles 148.98, 124.69, 64.78 degrees
Atoms (fractional coordinates):
Tl: 0.242 0.242 0.000
Tl: 0.758 0.758 0.000
Pt: 0.000 0.500 0.500
W: 0.500 0.000 0.500

---

# 10
Below is a crystal of HoSiNi4 relaxed with PBEsol, with properties calculated at the meta-GGA SCAN level.

Calculated values
Formation energy without anion corrections ... -628 meV per atom
V ... 13.0 Å³ per atom

Cell lengths 4.724, 4.724, 3.901 Å; angles 90.00, 90.00, 116.59 degrees
Atoms (fractional coordinates):
Ho: 0.000 0.000 0.000
Si: 0.500 0.500 0.500
Ni: 0.000 0.500 0.500
Ni: 0.340 0.660 0.000
Ni: 0.500 0.000 0.500
Ni: 0.660 0.340 0.000

---

# 11
Below is a crystal of MgZnBrCl2 relaxed with PBEsol, with properties calculated at the meta-GGA SCAN level.

Calculated values
Formation energy without anion corrections ... -1027 meV per atom
V ... 24.2 Å³ per atom

Cell lengths 4.715, 4.715, 5.448 Å; angles 90.00, 90.00, 90.00 degrees
Atoms (fractional coordinates):
Mg: 0.000 0.000 0.000
Zn: 0.500 0.500 0.500
Br: 0.000 0.000 0.500
Cl: 0.000 0.500 0.000
Cl: 0.500 0.000 0.000

---

# 12
Below is a crystal of CdTcF3 relaxed with PBEsol, with properties calculated at the meta-GGA SCAN level.

Calculated values
Formation energy without anion corrections ... -1275 meV per atom
V ... 14.8 Å³ per atom

Cell lengths 4.196, 4.196, 4.196 Å; angles 90.00, 90.00, 90.00 degrees
Atoms (fractional coordinates):
Cd: 0.000 0.000 0.000
Tc: 0.500 0.500 0.500
F: 0.000 0.500 0.500
F: 0.500 0.000 0.500
F: 0.500 0.500 0.000

---

# 13
Below is a crystal of Mn2TlFe relaxed with PBEsol, with properties calculated at the meta-GGA SCAN level.

Calculated values
Formation energy ... 0.32 eV per atom
Offset from the most stable computed form ... 142 meV/atom
V ... 13.9 Å³ per atom

Cell lengths 4.836, 4.836, 4.836 Å; angles 140.29, 128.89, 66.60 degrees
Atoms (fractional coordinates):
Mn: 0.000 0.000 0.000
Mn: 0.752 0.252 0.500
Tl: 0.268 0.768 0.500
Fe: 0.531 0.531 0.000